Computed, not measured: a relaxed structure of Li2IrRu at the GGA-PBE level of DFT.

Computed properties:
Energy above the lowest structure with this stoichiometry (meV per atom): 41.3
E_form (meV per atom): -5
Mass density (g/cm3): 9.3
Electronic total energy (eV/atom): -5.497

Cell lengths 2.7064, 4.4899, 9.0407 Å; angles 90.00, 90.00, 90.00 degrees
Last column: nearest neighbours and their distance in Å.
Space group Cmmm (No. 65)
Unique sites:
Li: 0.0000 0.0000 0.2461 (multiplicity 4)  2 Ir 2.60, 6 Li 2.62-2.71, 2 Ru 2.66
Ir: 0.0000 0.5000 0.0000 (multiplicity 2)  4 Li 2.60, 6 Ir 2.62-2.71
Ru: 0.0000 0.5000 0.5000 (multiplicity 2)  6 Ru 2.62-2.71, 4 Li 2.66